# RbLa2Cl7 | Alexandria | PBE | relaxed
# - D(E_F) (states/eV per atom) = 0.00
# - total moment (μB/f.u.) = 0.000
# - energy relative to the elements, uncorrected (eV per atom) = -2.312
# - symmetry = Cmmm, No. 65
data_RbLa2Cl7
_cell_length_a 5.582
_cell_length_b 8.401
_cell_length_c 8.401
_cell_angle_alpha 116.10
_cell_angle_beta 90.00
_cell_angle_gamma 90.00
_space_group_name_H-M_alt 'P 1'
_space_group_IT_number 1
_space_group_name_Hall 'P 1'
loop_
_atom_site_label
_atom_site_fract_x
_atom_site_fract_y
_atom_site_fract_z
_atom_site_occupancy
Rb1 0.000 0.000 0.000 1
La1 0.500 0.697 0.303 1
La2 0.500 0.303 0.697 1
Cl1 0.000 0.715 0.285 1
Cl2 0.000 0.285 0.715 1
Cl3 0.500 0.050 0.326 1
Cl4 0.500 0.950 0.674 1
Cl5 0.500 0.326 0.050 1
Cl6 0.500 0.674 0.950 1
Cl7 0.500 0.500 0.500 1

---

# RbLaCl4 | Alexandria | PBE | relaxed
# - D(E_F) (states/eV per atom) = 0.00
# - total moment (μB/f.u.) = 0.000
# - energy relative to the elements, uncorrected (eV per atom) = -2.206
# - E above lowest polymorph (meV per atom) = 63
# - symmetry = C2/c, No. 15
data_RbLaCl4
_cell_length_a 7.282
_cell_length_b 8.432
_cell_length_c 8.534
_cell_angle_alpha 113.69
_cell_angle_beta 108.65
_cell_angle_gamma 102.48
_space_group_name_H-M_alt 'P 1'
_space_group_IT_number 1
_space_group_name_Hall 'P 1'
loop_
_atom_site_label
_atom_site_fract_x
_atom_site_fract_y
_atom_site_fract_z
_atom_site_occupancy
Rb1 0.390 0.640 0.280 1
Rb2 0.610 0.360 0.720 1
La1 0.239 0.989 0.978 1
La2 0.761 0.011 0.022 1
Cl1 0.000 0.206 0.886 1
Cl2 0.805 0.747 0.691 1
Cl3 0.386 0.680 0.886 1
Cl4 0.385 0.944 0.691 1
Cl5 0.615 0.056 0.309 1
Cl6 0.614 0.320 0.114 1
Cl7 0.195 0.253 0.309 1
Cl8 0.000 0.794 0.114 1

---

# Rb5La3Cl12 | Alexandria | PBE | relaxed
# - D(E_F) (states/eV per atom) = 0.80
# - total moment (μB/f.u.) = 2.183
# - energy relative to the elements, uncorrected (eV per atom) = -1.881
# - symmetry = Ia-3d, No. 230
data_Rb5La3Cl12
_cell_length_a 15.745
_cell_length_b 15.745
_cell_length_c 15.745
_cell_angle_alpha 109.47
_cell_angle_beta 109.47
_cell_angle_gamma 109.47
_space_group_name_H-M_alt 'P 1'
_space_group_IT_number 1
_space_group_name_Hall 'P 1'
loop_
_atom_site_label
_atom_site_fract_x
_atom_site_fract_y
_atom_site_fract_z
_atom_site_occupancy
La1 0.750 0.375 0.125 1
La2 0.875 0.750 0.125 1
La3 0.375 0.750 0.625 1
La4 0.250 0.125 0.375 1
La5 0.875 0.125 0.250 1
La6 0.375 0.625 0.250 1
La7 0.625 0.375 0.750 1
La8 0.125 0.875 0.750 1
La9 0.750 0.875 0.625 1
La10 0.625 0.250 0.375 1
La11 0.125 0.250 0.875 1
La12 0.250 0.625 0.875 1
Rb1 0.125 0.375 0.250 1
Rb2 0.000 0.500 0.000 1
Rb3 0.000 0.000 0.000 1
Rb4 0.375 0.250 0.125 1
Rb5 0.500 0.000 0.500 1
Rb6 0.500 0.500 0.000 1
Rb7 0.125 0.750 0.375 1
Rb8 0.750 0.125 0.875 1
Rb9 0.750 0.625 0.375 1
Rb10 0.375 0.125 0.750 1
Rb11 0.625 0.875 0.250 1
Rb12 0.500 0.500 0.500 1
Rb13 0.500 0.000 0.000 1
Rb14 0.000 0.000 0.500 1
Rb15 0.250 0.375 0.625 1
Rb16 0.250 0.875 0.125 1
Rb17 0.000 0.500 0.500 1
Rb18 0.875 0.250 0.625 1
Rb19 0.625 0.750 0.875 1
Rb20 0.875 0.625 0.750 1
Cl1 0.744 0.126 0.075 1
Cl2 0.331 0.575 0.448 1
Cl3 0.925 0.374 0.256 1
Cl4 0.575 0.244 0.126 1
Cl5 0.617 0.744 0.669 1
Cl6 0.925 0.552 0.169 1
Cl7 0.331 0.756 0.383 1
Cl8 0.052 0.883 0.126 1
Cl9 0.552 0.925 0.669 1
Cl10 0.744 0.617 0.169 1
Cl11 0.756 0.425 0.374 1
Cl12 0.831 0.948 0.075 1
Cl13 0.126 0.744 0.575 1
Cl14 0.374 0.448 0.117 1
Cl15 0.117 0.948 0.374 1
Cl16 0.383 0.126 0.552 1
Cl17 0.117 0.169 0.244 1
Cl18 0.425 0.669 0.052 1
Cl19 0.831 0.883 0.256 1
Cl20 0.126 0.383 0.052 1
Cl21 0.374 0.925 0.756 1
Cl22 0.552 0.626 0.383 1
Cl23 0.948 0.831 0.575 1
Cl24 0.756 0.331 0.883 1
Cl25 0.448 0.374 0.617 1
Cl26 0.052 0.169 0.425 1
Cl27 0.244 0.669 0.117 1
Cl28 0.169 0.117 0.744 1
Cl29 0.626 0.075 0.244 1
Cl30 0.874 0.617 0.948 1
Cl31 0.575 0.331 0.948 1
Cl32 0.617 0.874 0.448 1
Cl33 0.883 0.831 0.756 1
Cl34 0.883 0.052 0.626 1
Cl35 0.874 0.256 0.425 1
Cl36 0.169 0.052 0.925 1
Cl37 0.626 0.552 0.883 1
Cl38 0.448 0.075 0.331 1
Cl39 0.256 0.383 0.831 1
Cl40 0.244 0.575 0.626 1
Cl41 0.948 0.117 0.874 1
Cl42 0.669 0.244 0.617 1
Cl43 0.425 0.756 0.874 1
Cl44 0.075 0.448 0.831 1
Cl45 0.383 0.256 0.331 1
Cl46 0.075 0.626 0.744 1
Cl47 0.669 0.425 0.552 1
Cl48 0.256 0.874 0.925 1

---

# RbLa2Cl6 | Alexandria | PBE | relaxed
# - D(E_F) (states/eV per atom) = 0.26
# - total moment (μB/f.u.) = 0.785
# - energy relative to the elements, uncorrected (eV per atom) = -2.210
# - symmetry = C2/c, No. 15
data_RbLa2Cl6
_cell_length_a 7.682
_cell_length_b 9.816
_cell_length_c 9.816
_cell_angle_alpha 55.54
_cell_angle_beta 78.41
_cell_angle_gamma 78.41
_space_group_name_H-M_alt 'P 1'
_space_group_IT_number 1
_space_group_name_Hall 'P 1'
loop_
_atom_site_label
_atom_site_fract_x
_atom_site_fract_y
_atom_site_fract_z
_atom_site_occupancy
Rb1 0.250 0.231 0.769 1
Rb2 0.750 0.769 0.231 1
La1 0.882 0.739 0.735 1
La2 0.618 0.265 0.261 1
La3 0.118 0.261 0.265 1
La4 0.382 0.735 0.739 1
Cl1 0.196 0.625 0.602 1
Cl2 0.304 0.398 0.375 1
Cl3 0.804 0.375 0.398 1
Cl4 0.696 0.602 0.625 1
Cl5 0.911 0.987 0.355 1
Cl6 0.589 0.645 0.013 1
Cl7 0.089 0.013 0.645 1
Cl8 0.411 0.355 0.987 1
Cl9 0.080 0.648 0.012 1
Cl10 0.420 0.988 0.352 1
Cl11 0.920 0.352 0.988 1
Cl12 0.580 0.012 0.648 1

---

Copy entry 1 word for word.
# RbLa2Cl7 | Alexandria | PBE | relaxed
# - D(E_F) (states/eV per atom) = 0.00
# - total moment (μB/f.u.) = 0.000
# - energy relative to the elements, uncorrected (eV per atom) = -2.312
# - symmetry = Cmmm, No. 65
data_RbLa2Cl7
_cell_length_a 5.582
_cell_length_b 8.401
_cell_length_c 8.401
_cell_angle_alpha 116.10
_cell_angle_beta 90.00
_cell_angle_gamma 90.00
_space_group_name_H-M_alt 'P 1'
_space_group_IT_number 1
_space_group_name_Hall 'P 1'
loop_
_atom_site_label
_atom_site_fract_x
_atom_site_fract_y
_atom_site_fract_z
_atom_site_occupancy
Rb1 0.000 0.000 0.000 1
La1 0.500 0.697 0.303 1
La2 0.500 0.303 0.697 1
Cl1 0.000 0.715 0.285 1
Cl2 0.000 0.285 0.715 1
Cl3 0.500 0.050 0.326 1
Cl4 0.500 0.950 0.674 1
Cl5 0.500 0.326 0.050 1
Cl6 0.500 0.674 0.950 1
Cl7 0.500 0.500 0.500 1

---

Q: Which value of energy relative to the elements, uncorrected does entry 3 give?
A: -1.881 eV per atom

---

Q: What is the D(E_F) in the third record?
A: 0.80 states/eV per atom